# 1
Computed, not measured: an optimized crystal structure of TmInAgPb at the PBE level of DFT.

```
data_TmInAgPb
_chemical_formula_sum 'Tm4 In4 Ag4 Pb4'
_symmetry_space_group_name_H-M 'P 1'
_symmetry_Int_Tables_number 1
_cell_length_a 7.334
_cell_length_b 7.334
_cell_length_c 7.334
_cell_angle_alpha 90.00
_cell_angle_beta 90.00
_cell_angle_gamma 90.00
loop_
_symmetry_equiv_pos_as_xyz
'x,y,z'
loop_
_atom_site_label
_atom_site_type_symbol
_atom_site_fract_x
_atom_site_fract_y
_atom_site_fract_z
_atom_site_occupancy
Tm1 Tm 0.000 0.000 0.000 1
Tm2 Tm 0.000 0.500 0.500 1
Tm3 Tm 0.500 0.000 0.500 1
Tm4 Tm 0.500 0.500 0.000 1
In1 In 0.250 0.250 0.750 1
In2 In 0.250 0.750 0.250 1
In3 In 0.750 0.250 0.250 1
In4 In 0.750 0.750 0.750 1
Ag1 Ag 0.000 0.000 0.500 1
Ag2 Ag 0.000 0.500 0.000 1
Ag3 Ag 0.500 0.000 0.000 1
Ag4 Ag 0.500 0.500 0.500 1
Pb1 Pb 0.250 0.250 0.250 1
Pb2 Pb 0.250 0.750 0.750 1
Pb3 Pb 0.750 0.250 0.750 1
Pb4 Pb 0.750 0.750 0.250 1
```

Calculated values
Space group: F-43m, No. 216
Crystal system: cubic


# 2
Computed, not measured: an optimized crystal structure of TmInAgPb at the PBE level of DFT.

```
data_TmInAgPb
_chemical_formula_sum 'Tm1 In1 Ag1 Pb1'
_symmetry_space_group_name_H-M 'P 1'
_symmetry_Int_Tables_number 1
_cell_length_a 4.430
_cell_length_b 4.542
_cell_length_c 4.777
_cell_angle_alpha 90.00
_cell_angle_beta 90.00
_cell_angle_gamma 90.00
loop_
_symmetry_equiv_pos_as_xyz
'x,y,z'
loop_
_atom_site_label
_atom_site_type_symbol
_atom_site_fract_x
_atom_site_fract_y
_atom_site_fract_z
_atom_site_occupancy
Tm1 Tm 0.000 0.000 0.000 1
In1 In 0.500 0.000 0.500 1
Ag1 Ag 0.000 0.500 0.500 1
Pb1 Pb 0.500 0.500 0.000 1
```

Calculated values
Space group: Pmmm, No. 47
Crystal system: orthorhombic


# 3
Computed, not measured: an optimized crystal structure of ZnInAg2Pb at the PBE level of DFT.

```
data_ZnInAg2Pb
_chemical_formula_sum 'Zn1 In1 Ag2 Pb1'
_symmetry_space_group_name_H-M 'P 1'
_symmetry_Int_Tables_number 1
_cell_length_a 5.362
_cell_length_b 5.362
_cell_length_c 5.972
_cell_angle_alpha 90.00
_cell_angle_beta 90.00
_cell_angle_gamma 90.00
loop_
_symmetry_equiv_pos_as_xyz
'x,y,z'
loop_
_atom_site_label
_atom_site_type_symbol
_atom_site_fract_x
_atom_site_fract_y
_atom_site_fract_z
_atom_site_occupancy
Zn1 Zn 0.000 0.000 0.000 1
In1 In 0.500 0.500 0.000 1
Ag1 Ag 0.000 0.500 0.500 1
Ag2 Ag 0.500 0.000 0.500 1
Pb1 Pb 0.500 0.500 0.500 1
```

Calculated values
Space group: P4/mmm, No. 123
Crystal system: tetragonal


# 4
Computed, not measured: an optimized crystal structure of ZnInAgPb2 at the PBE level of DFT.

```
data_ZnInAgPb2
_chemical_formula_sum 'Zn1 In1 Ag1 Pb2'
_symmetry_space_group_name_H-M 'P 1'
_symmetry_Int_Tables_number 1
_cell_length_a 5.450
_cell_length_b 5.450
_cell_length_c 5.072
_cell_angle_alpha 90.00
_cell_angle_beta 90.00
_cell_angle_gamma 90.00
loop_
_symmetry_equiv_pos_as_xyz
'x,y,z'
loop_
_atom_site_label
_atom_site_type_symbol
_atom_site_fract_x
_atom_site_fract_y
_atom_site_fract_z
_atom_site_occupancy
Zn1 Zn 0.000 0.000 0.000 1
In1 In 0.000 0.000 0.500 1
Ag1 Ag 0.500 0.500 0.500 1
Pb1 Pb 0.000 0.500 0.000 1
Pb2 Pb 0.500 0.000 0.000 1
```

Calculated values
Space group: P4/mmm, No. 123
Crystal system: tetragonal


# 5
Computed, not measured: an optimized crystal structure of In5AgPd6 at the PBE level of DFT.

```
data_In5AgPd6
_chemical_formula_sum 'In5 Ag1 Pd6'
_symmetry_space_group_name_H-M 'P 1'
_symmetry_Int_Tables_number 1
_cell_length_a 7.990
_cell_length_b 7.990
_cell_length_c 7.990
_cell_angle_alpha 146.89
_cell_angle_beta 129.60
_cell_angle_gamma 61.64
loop_
_symmetry_equiv_pos_as_xyz
'x,y,z'
loop_
_atom_site_label
_atom_site_type_symbol
_atom_site_fract_x
_atom_site_fract_y
_atom_site_fract_z
_atom_site_occupancy
In1 In 0.000 0.000 0.000 1
In2 In 0.170 0.670 0.500 1
In3 In 0.345 0.345 0.000 1
In4 In 0.655 0.655 0.000 1
In5 In 0.830 0.330 0.500 1
Ag1 Ag 0.500 0.000 0.500 1
Pd1 Pd 0.070 0.828 0.242 1
Pd2 Pd 0.233 0.500 0.733 1
Pd3 Pd 0.413 0.172 0.242 1
Pd4 Pd 0.587 0.828 0.758 1
Pd5 Pd 0.767 0.500 0.267 1
Pd6 Pd 0.930 0.172 0.758 1
```

Calculated values
Space group: Immm, No. 71
Crystal system: orthorhombic


# 6
Computed, not measured: an optimized crystal structure of In2AgPd8 at the PBE level of DFT.

```
data_In2AgPd8
_chemical_formula_sum 'In2 Ag1 Pd8'
_symmetry_space_group_name_H-M 'P 1'
_symmetry_Int_Tables_number 1
_cell_length_a 7.429
_cell_length_b 7.429
_cell_length_c 6.436
_cell_angle_alpha 106.75
_cell_angle_beta 106.75
_cell_angle_gamma 32.30
loop_
_symmetry_equiv_pos_as_xyz
'x,y,z'
loop_
_atom_site_label
_atom_site_type_symbol
_atom_site_fract_x
_atom_site_fract_y
_atom_site_fract_z
_atom_site_occupancy
In1 In 0.222 0.222 0.158 1
In2 In 0.778 0.778 0.842 1
Ag1 Ag 0.500 0.500 0.500 1
Pd1 Pd 0.040 0.040 0.225 1
Pd2 Pd 0.142 0.142 0.692 1
Pd3 Pd 0.323 0.323 0.590 1
Pd4 Pd 0.406 0.406 0.042 1
Pd5 Pd 0.594 0.594 0.958 1
Pd6 Pd 0.677 0.677 0.410 1
Pd7 Pd 0.858 0.858 0.308 1
Pd8 Pd 0.960 0.960 0.775 1
```

Calculated values
Space group: C2/m, No. 12
Crystal system: monoclinic


# 7
Computed, not measured: an optimized crystal structure of In6AgPd12 at the PBE level of DFT.

```
data_In6AgPd12
_chemical_formula_sum 'In6 Ag1 Pd12'
_symmetry_space_group_name_H-M 'P 1'
_symmetry_Int_Tables_number 1
_cell_length_a 7.447
_cell_length_b 7.447
_cell_length_c 7.447
_cell_angle_alpha 107.10
_cell_angle_beta 107.10
_cell_angle_gamma 107.10
loop_
_symmetry_equiv_pos_as_xyz
'x,y,z'
loop_
_atom_site_label
_atom_site_type_symbol
_atom_site_fract_x
_atom_site_fract_y
_atom_site_fract_z
_atom_site_occupancy
In1 In 0.040 0.410 0.294 1
In2 In 0.294 0.040 0.410 1
In3 In 0.410 0.294 0.040 1
In4 In 0.590 0.706 0.960 1
In5 In 0.706 0.960 0.590 1
In6 In 0.960 0.590 0.706 1
Ag1 Ag 0.500 0.500 0.500 1
Pd1 Pd 0.014 0.315 0.903 1
Pd2 Pd 0.097 0.986 0.685 1
Pd3 Pd 0.223 0.379 0.666 1
Pd4 Pd 0.315 0.903 0.014 1
Pd5 Pd 0.334 0.777 0.621 1
Pd6 Pd 0.379 0.666 0.223 1
Pd7 Pd 0.621 0.334 0.777 1
Pd8 Pd 0.666 0.223 0.379 1
Pd9 Pd 0.685 0.097 0.986 1
Pd10 Pd 0.777 0.621 0.334 1
Pd11 Pd 0.903 0.014 0.315 1
Pd12 Pd 0.986 0.685 0.097 1
```

Calculated values
Space group: R-3, No. 148
Crystal system: trigonal


# 8
Computed, not measured: an optimized crystal structure of In8AgPd6 at the PBE level of DFT.

```
data_In8AgPd6
_chemical_formula_sum 'In8 Ag1 Pd6'
_symmetry_space_group_name_H-M 'P 1'
_symmetry_Int_Tables_number 1
_cell_length_a 7.232
_cell_length_b 7.232
_cell_length_c 7.232
_cell_angle_alpha 66.65
_cell_angle_beta 66.65
_cell_angle_gamma 66.65
loop_
_symmetry_equiv_pos_as_xyz
'x,y,z'
loop_
_atom_site_label
_atom_site_type_symbol
_atom_site_fract_x
_atom_site_fract_y
_atom_site_fract_z
_atom_site_occupancy
In1 In 0.069 0.378 0.703 1
In2 In 0.168 0.168 0.168 1
In3 In 0.297 0.931 0.622 1
In4 In 0.378 0.703 0.069 1
In5 In 0.622 0.297 0.931 1
In6 In 0.703 0.069 0.378 1
In7 In 0.832 0.832 0.832 1
In8 In 0.931 0.622 0.297 1
Ag1 Ag 0.500 0.500 0.500 1
Pd1 Pd 0.107 0.788 0.450 1
Pd2 Pd 0.212 0.550 0.893 1
Pd3 Pd 0.450 0.107 0.788 1
Pd4 Pd 0.550 0.893 0.212 1
Pd5 Pd 0.788 0.450 0.107 1
Pd6 Pd 0.893 0.212 0.550 1
```

Calculated values
Space group: R-3, No. 148
Crystal system: trigonal


# 9
Computed, not measured: an optimized crystal structure of In2Ag3Pd4 at the PBE level of DFT.

```
data_In2Ag3Pd4
_chemical_formula_sum 'In2 Ag3 Pd4'
_symmetry_space_group_name_H-M 'P 1'
_symmetry_Int_Tables_number 1
_cell_length_a 4.744
_cell_length_b 4.744
_cell_length_c 8.631
_cell_angle_alpha 97.47
_cell_angle_beta 97.47
_cell_angle_gamma 54.01
loop_
_symmetry_equiv_pos_as_xyz
'x,y,z'
loop_
_atom_site_label
_atom_site_type_symbol
_atom_site_fract_x
_atom_site_fract_y
_atom_site_fract_z
_atom_site_occupancy
In1 In 0.168 0.168 0.217 1
In2 In 0.832 0.832 0.783 1
Ag1 Ag 0.163 0.163 0.553 1
Ag2 Ag 0.500 0.500 0.000 1
Ag3 Ag 0.837 0.837 0.447 1
Pd1 Pd 0.168 0.168 0.888 1
Pd2 Pd 0.499 0.499 0.674 1
Pd3 Pd 0.501 0.501 0.326 1
Pd4 Pd 0.832 0.832 0.112 1
```

Calculated values
Space group: C2/m, No. 12
Crystal system: monoclinic


# 10
Computed, not measured: an optimized crystal structure of In2AgPd at the PBE level of DFT.

```
data_In2AgPd
_chemical_formula_sum 'In4 Ag2 Pd2'
_symmetry_space_group_name_H-M 'P 1'
_symmetry_Int_Tables_number 1
_cell_length_a 3.257
_cell_length_b 7.372
_cell_length_c 7.412
_cell_angle_alpha 104.23
_cell_angle_beta 90.34
_cell_angle_gamma 102.34
loop_
_symmetry_equiv_pos_as_xyz
'x,y,z'
loop_
_atom_site_label
_atom_site_type_symbol
_atom_site_fract_x
_atom_site_fract_y
_atom_site_fract_z
_atom_site_occupancy
In1 In 0.063 0.132 0.337 1
In2 In 0.252 0.512 0.757 1
In3 In 0.748 0.488 0.243 1
In4 In 0.937 0.868 0.663 1
Ag1 Ag 0.107 0.204 0.978 1
Ag2 Ag 0.893 0.796 0.022 1
Pd1 Pd 0.404 0.808 0.350 1
Pd2 Pd 0.596 0.192 0.650 1
```

Calculated values
Space group: P-1, No. 2
Crystal system: triclinic


# 11
Computed, not measured: an optimized crystal structure of InAgPd6 at the PBE level of DFT.

```
data_InAgPd6
_chemical_formula_sum 'In1 Ag1 Pd6'
_symmetry_space_group_name_H-M 'P 1'
_symmetry_Int_Tables_number 1
_cell_length_a 5.142
_cell_length_b 5.142
_cell_length_c 5.160
_cell_angle_alpha 94.95
_cell_angle_beta 94.63
_cell_angle_gamma 94.71
loop_
_symmetry_equiv_pos_as_xyz
'x,y,z'
loop_
_atom_site_label
_atom_site_type_symbol
_atom_site_fract_x
_atom_site_fract_y
_atom_site_fract_z
_atom_site_occupancy
In1 In 0.000 0.000 0.000 1
Ag1 Ag 0.500 0.500 0.500 1
Pd1 Pd 0.043 0.459 0.749 1
Pd2 Pd 0.250 0.957 0.542 1
Pd3 Pd 0.458 0.750 0.045 1
Pd4 Pd 0.542 0.250 0.955 1
Pd5 Pd 0.750 0.043 0.458 1
Pd6 Pd 0.957 0.541 0.251 1
```

Calculated values
Space group: P-1, No. 2
Crystal system: triclinic


In states/eV per atom, the DOS(E_F) values for the records above are, in order, 0.527 0.405 0.559 0.458 0.363 0.493 0.426 0.246 0.245 0.300 1.085.
In meV per atom, the calculated formation energy values for the records above are, in order, -122 -277 616 409 -467 -292 -371 -428 -304 -199 -120.
In eV for the cell shown, the total energy values for the records above are, in order, -57.02 -14.88 -10.34 -12.23 -53.30 -53.08 -88.65 -62.33 -37.54 -28.64 -37.70.